[1]
Computed, not measured: Sb2PbC after structural relaxation at the PBE level of DFT.

**Raw formation energy**: 1548 meV/atom

a = 7.1983 Å, b = 7.1983 Å, c = 7.1983 Å
α = 90.00°, β = 90.00°, γ = 90.00°
With the nearest neighbours (Å) after each atom.
Space group Fm-3m (No. 225)
Symmetry-distinct sites (fractional):
Sb 0.2500 0.2500 0.2500 [8 per cell]  4 Pb 3.12, 4 C 3.12
Pb 0.0000 0.0000 0.0000 [4 per cell]  8 Sb 3.12
C 0.0000 0.0000 0.5000 [4 per cell]  8 Sb 3.12

[2]
Computed, not measured: BaYSn3 after structural relaxation at the PBE level of DFT.

**ΔH_f (0 K)**: -1.05 eV/f.u.

a = 5.7770 Å, b = 5.7770 Å, c = 5.7770 Å
α = 90.00°, β = 90.00°, γ = 90.00°
With the nearest neighbours (Å) after each atom.
Space group Pm-3m (No. 221)
Symmetry-distinct sites (fractional):
Ba 0.0000 0.0000 0.0000 [1 per cell]  12 Sn 4.08
Y 0.5000 0.5000 0.5000 [1 per cell]  6 Sn 2.89
Sn 0.0000 0.5000 0.5000 [3 per cell]  2 Y 2.89

| no. | N(E_F) (states/eV/f.u.) | energy above the lowest structure with this stoichiometry (meV/atom) |
| --- | --- | --- |
| 1 | 3.1 | 777.9 |
| 2 | 4.0 | 370.9 |